Entry 1:
## ReTcBr2 (SCAN)

Data for a PBEsol-optimized structure of ReTcBr2.

Lattice parameters (Å, degrees): 6.4880 6.4880 6.4880 90.00 90.00 90.00
With the nearest neighbours (Å) after each atom.
Space group F-43m (No. 216)
Inequivalent atoms, fractional coordinates:
Re1 0.0000 0.0000 0.0000  4 Br 2.81, 4 Tc 2.81
Tc1 0.2500 0.2500 0.7500  4 Re 2.81, 4 Br 2.81
Br1 0.0000 0.0000 0.5000  4 Br 2.81, 4 Tc 2.81
Br2 0.2500 0.2500 0.2500  4 Re 2.81, 4 Br 2.81

- E_form (uncorrected) (eV/atom) = 1.52
- relative energy among the computed polymorphs (eV per formula unit) = 3.415
- magnetization (μB per formula unit) = 0.08
- Fermi-level density of states (states/eV/cell) = 8.46
- mass density (kg/m3) = 10799

Entry 2:
## KAs3Pb4O12 (SCAN)

Data for a PBEsol-optimized structure of KAs3Pb4O12.

Lattice parameters (Å, degrees): 10.1074 10.1074 7.4393 90.00 90.00 120.00
With the nearest neighbours (Å) after each atom.
Space group P6_3 (No. 173)
Inequivalent atoms, fractional coordinates:
K1 0.3333 0.6667 0.0000  6 O 2.67-2.78
As1 0.0175 0.3904 0.2375  4 O 1.71-1.73
Pb1 0.0021 0.2577 0.7384  2 O 2.26-2.50
Pb2 0.3333 0.6667 0.5031  3 O 2.44
O1 0.0865 0.3429 0.4230  1 As 1.72
O2 0.0914 0.3405 0.0596  1 As 1.71
O3 0.0979 0.5866 0.2447  1 As 1.73
O4 0.1773 0.6990 0.7298  1 As 1.71

- E_form (uncorrected) (eV/atom) = -1.49
- magnetization (μB per formula unit) = 0.00
- Fermi-level density of states (states/eV/cell) = 0.00
- mass density (kg/m3) = 6482

Which formula does entry 1 have? ReTcBr2